Record 1
A plane-wave DFT calculation with PBEsol was carried out for TlOsRh2 after structural relaxation.

```
TlOsRh2
1.0
2.828 0.000 0.000
1.414 2.449 0.000
1.414 0.816 8.953
Rh Os Tl
2 1 1
Direct
0.744 0.744 0.767
0.256 0.256 0.233
0.000 0.000 0.000
0.500 0.500 0.500
```

DOS at the Fermi energy ... 3.99 states/eV/cell
Density ... 16.1 g/cm3
M_tot ... 0.000 μB/f.u.
Uncorrected energy ... -7.43 eV/atom
Formation enthalpy at 0 K ... 1.387 eV per formula unit

Record 2
A plane-wave DFT calculation with PBEsol was carried out for Zr2ScPt after structural relaxation.

```
Zr2ScPt
1.0
3.435 0.000 0.000
0.000 4.542 0.000
0.000 0.000 4.902
Zr Sc Pt
2 1 1
Direct
0.500 0.500 0.000
0.000 0.000 0.000
0.000 0.500 0.500
0.500 0.000 0.500
```

DOS at the Fermi energy ... 5.27 states/eV/cell
Density ... 9.2 g/cm3
M_tot ... 0.001 μB/f.u.
Uncorrected energy ... -8.42 eV/atom
Formation enthalpy at 0 K ... -1.925 eV per formula unit

Record 3
A plane-wave DFT calculation with PBEsol was carried out for ScBeS3 after structural relaxation.

```
ScBeS3
1.0
4.818 0.000 0.000
0.000 4.818 0.000
0.000 0.000 4.818
Sc S Be
1 3 1
Direct
0.000 0.000 0.000
0.000 0.500 0.000
0.500 0.000 0.000
0.000 0.000 0.500
0.500 0.500 0.500
```

DOS at the Fermi energy ... 5.31 states/eV/cell
Density ... 2.2 g/cm3
Formation energy (no corrections) ... 0.09 eV per atom
M_tot ... 0.001 μB/f.u.
Uncorrected energy ... -4.66 eV/atom

Record 4
A plane-wave DFT calculation with PBEsol was carried out for NdMnSi after structural relaxation.

```
NdMnSi
1.0
3.946 0.000 0.000
0.000 3.946 0.000
0.000 0.000 7.278
Nd Mn Si
2 2 2
Direct
0.000 0.500 0.171
0.500 0.000 0.829
0.000 0.000 0.500
0.500 0.500 0.500
0.000 0.500 0.685
0.500 0.000 0.315
```

DOS at the Fermi energy ... 4.98 states/eV/cell
Density ... 6.7 g/cm3
Formation energy (no corrections) ... -0.50 eV per atom
M_tot ... 1.773 μB/f.u.
Uncorrected energy ... -7.39 eV/atom

Q: Which of these has the highest uncorrected energy?
A: ScBeS3

Q: The lowest uncorrected energy belongs to which entry?
A: Zr2ScPt

Q: The lowest uncorrected energy belongs to which entry?
A: Zr2ScPt